--- i ---
A plane-wave DFT calculation with PBE-GGA was carried out for a relaxed structure of PmNd2Au.

## Properties
Its crystal system is trigonal. For the density of states at the Fermi level, the calculation gives 1.13 states/eV/atom.

Geometry as extended XYZ:
```
4
Lattice="-2.543 -2.770 -0.277 1.023 -3.371 -1.345 1.843 -5.165 9.057" Properties=species:S:1:pos:R:3 pbc="T T T"
Nd -0.007 -2.709 1.498
Pm 0.162 -5.653 3.717
Nd 0.331 -8.596 5.937
Au 0.000 0.000 0.000
```

---

--- ii ---
A plane-wave DFT calculation with PBE-GGA was carried out for a relaxed structure of PmNd2Au.

## Properties
Its crystal system is orthorhombic. For the density of states at the Fermi level, the calculation gives 1.23 states/eV/atom.

Geometry as extended XYZ:
```
8
Lattice="-3.673 2.046 -2.699 -1.643 -5.930 2.368 -2.968 3.492 6.684" Properties=species:S:1:pos:R:3 pbc="T T T"
Au -6.118 0.740 4.266
Nd -4.202 1.270 2.056
Nd -2.916 -0.243 -0.840
Nd -5.368 -0.149 7.192
Nd -4.082 -1.662 4.296
Pm -2.561 2.147 5.110
Au -2.166 -1.133 2.087
Pm -5.723 -2.540 1.242
```

---

Which one is most stable, and which one is least stable? ii is the most stable of them, while i is the least stable.